1.
A relaxed AlCdAs2 crystal, computed with PBE.

Lattice parameters (Å, degrees): 10.6941 10.6941 10.6941 16.50 16.50 16.50
Closest atoms and distances in Å follow each position.
Fractional coordinates of all 4 atoms:
As (0.0205, 0.0205, 0.0205)  3 Al 2.66
As (0.4795, 0.4795, 0.4795)  3 Al 2.66
Al (0.7500, 0.7500, 0.7500)  6 As 2.66
Cd (0.2500, 0.2500, 0.2500)  6 Cd 3.07

Results
* ΔE_f: 0.097 eV/atom
* ΔE to the lowest computed polymorph: 0.235 eV/atom
* total magnetization: 0.00 μB per cell

2.
A relaxed NaSrReI2 crystal, computed with PBE.

Lattice parameters (Å, degrees): 5.5954 6.6133 5.5954 90.00 90.00 90.00
Closest atoms and distances in Å follow each position.
Fractional coordinates of all 5 atoms:
I (0.0000, 0.0000, 0.5000)  2 Na 2.80
I (0.5000, 0.0000, 0.0000)  2 Na 2.80
Re (0.5000, 0.5000, 0.5000)  4 Sr 3.96, 8 I 4.33
Na (0.0000, 0.0000, 0.0000)  4 I 2.80
Sr (0.0000, 0.5000, 0.0000)  2 Na 3.31

Results
* total magnetization: 4.07 μB per cell
* uncorrected formation energy: 0.83 eV/atom

3.
A relaxed AgPOsCl2 crystal, computed with PBE.

Lattice parameters (Å, degrees): 4.7756 4.7756 5.2003 90.00 90.00 90.00
Closest atoms and distances in Å follow each position.
Fractional coordinates of all 5 atoms:
P (0.0000, 0.0000, 0.5000)  2 Ag 2.60
Os (0.5000, 0.5000, 0.5000)  4 P 3.38, 8 Cl 3.53
Ag (0.0000, 0.0000, 0.0000)  4 Cl 2.39, 2 P 2.60
Cl (0.0000, 0.5000, 0.0000)  2 Ag 2.39
Cl (0.5000, 0.0000, 0.0000)  2 Ag 2.39

Results
* ΔE to the lowest computed polymorph: 1.068 eV/atom
* total magnetization: 3.71 μB per cell
* uncorrected formation energy: 1.51 eV/atom